1.
The following is a PBE with a Hubbard U calculation of V2CuPbO6 after structural relaxation, from Alexandria via LeMat-Bulk.

Summary:
* SG: C2/c, No. 15
* E_tot: -6.74 eV per atom

abc: 6.312 7.263 7.263
angles: 101.67 74.44 74.44
Fractional coordinates of all 20 atoms:
V  0.336  0.715  0.558
V  0.164  0.442  0.285
V  0.664  0.285  0.442
V  0.836  0.558  0.715
Cu  0.250  0.201  0.799
Cu  0.750  0.799  0.201
Pb  0.250  0.906  0.094
Pb  0.750  0.094  0.906
O  0.188  0.936  0.786
O  0.312  0.214  0.064
O  0.812  0.064  0.214
O  0.688  0.786  0.936
O  0.442  0.821  0.379
O  0.058  0.621  0.179
O  0.558  0.179  0.621
O  0.942  0.379  0.821
O  0.049  0.659  0.571
O  0.451  0.429  0.341
O  0.951  0.341  0.429
O  0.549  0.571  0.659

---

2.
The following is a PBE with a Hubbard U calculation of VCuPb2O6 after structural relaxation, from Alexandria via LeMat-Bulk.

Summary:
* SG: C2/m, No. 12
* E_tot: -6.03 eV per atom

abc: 5.029 5.328 9.860
angles: 90.00 95.76 90.00
Fractional coordinates of all 20 atoms:
V  0.500  0.000  0.500
V  0.000  0.500  0.000
Cu  0.500  0.000  0.000
Cu  0.000  0.500  0.500
Pb  0.023  0.000  0.241
Pb  0.523  0.500  0.741
Pb  0.977  0.000  0.759
Pb  0.477  0.500  0.259
O  0.268  0.755  0.062
O  0.768  0.745  0.562
O  0.732  0.245  0.938
O  0.232  0.255  0.438
O  0.232  0.745  0.438
O  0.732  0.755  0.938
O  0.768  0.255  0.562
O  0.268  0.245  0.062
O  0.920  0.500  0.177
O  0.420  0.000  0.677
O  0.080  0.500  0.823
O  0.580  0.000  0.323

---

3.
The following is a PBE with a Hubbard U calculation of V4Cu3PbO12 after structural relaxation, from Alexandria via LeMat-Bulk.

Summary:
* SG: Im-3, No. 204
* E_tot: -6.67 eV per atom

abc: 6.448 6.448 6.448
angles: 109.47 109.47 109.47
Fractional coordinates of all 20 atoms:
V  0.500  0.000  0.000
V  0.500  0.500  0.500
V  0.000  0.500  0.000
V  0.000  0.000  0.500
Cu  0.000  0.500  0.500
Cu  0.500  0.500  0.000
Cu  0.500  0.000  0.500
Pb  0.000  0.000  0.000
O  0.304  0.814  0.118
O  0.696  0.186  0.882
O  0.696  0.814  0.510
O  0.882  0.696  0.186
O  0.814  0.118  0.304
O  0.186  0.490  0.304
O  0.490  0.304  0.186
O  0.186  0.882  0.696
O  0.304  0.186  0.490
O  0.118  0.304  0.814
O  0.814  0.510  0.696
O  0.510  0.696  0.814

---

4.
The following is a PBE with a Hubbard U calculation of VCu2Pb2O6 after structural relaxation, from Alexandria via LeMat-Bulk.

Summary:
* SG: R-3m, No. 166
* E_tot: -5.85 eV per atom

abc: 5.873 5.873 6.033
angles: 60.87 60.87 60.00
Fractional coordinates of all 11 atoms:
V  0.000  0.000  0.000
Cu  0.410  0.410  0.770
Cu  0.590  0.590  0.230
Pb  0.790  0.790  0.631
Pb  0.210  0.210  0.369
O  0.772  0.772  0.240
O  0.215  0.772  0.240
O  0.772  0.215  0.240
O  0.228  0.785  0.760
O  0.785  0.228  0.760
O  0.228  0.228  0.760

---

5.
The following is a PBE with a Hubbard U calculation of CuPb2WO6 after structural relaxation, from Alexandria via LeMat-Bulk.

Summary:
* SG: P2_1/c, No. 14
* E_tot: -6.20 eV per atom

abc: 5.388 5.383 9.583
angles: 90.00 89.17 90.00
Fractional coordinates of all 20 atoms:
Cu  0.500  0.000  0.000
Cu  0.000  0.500  0.500
Pb  0.010  0.016  0.242
Pb  0.510  0.484  0.742
Pb  0.990  0.984  0.758
Pb  0.490  0.516  0.258
W  0.500  0.000  0.500
W  0.000  0.500  0.000
O  0.289  0.704  0.048
O  0.789  0.796  0.548
O  0.711  0.296  0.952
O  0.211  0.204  0.452
O  0.297  0.703  0.495
O  0.797  0.797  0.995
O  0.703  0.297  0.505
O  0.203  0.203  0.005
O  0.928  0.454  0.201
O  0.428  0.046  0.701
O  0.072  0.546  0.799
O  0.572  0.954  0.299

---

Question: Which of these has the highest E_tot?
Answer: VCu2Pb2O6